DFT (PBE) results for ScGaCu2 after structural relaxation.

Values from the calculation:
Its space group is No. 123. For the total energy, the calculation gives -4.623 eV per atom. The calculation puts the formation energy from the elements at -0.94 eV/f.u. For the density of states at the Fermi level, the calculation gives 2.4 states/eV/f.u.

Unit cell a=4.019 b=4.019 c=3.858 alpha=90.00 beta=90.00 gamma=90.00
Positions (direct):
Sc 0.000 0.000 0.000
Ga 0.500 0.500 0.000
Cu 0.000 0.500 0.500
Cu 0.500 0.000 0.500

DFT (PBE) results for NbBiH3 after structural relaxation.

Values from the calculation:
Its space group is No. 221. For the total energy, the calculation gives -4.557 eV per atom. The calculation puts the offset from the most stable computed form at 0 meV per atom. For the density of states at the Fermi level, the calculation gives 2.8 states/eV/f.u.

Unit cell a=3.842 b=3.842 c=3.842 alpha=90.00 beta=90.00 gamma=90.00
Positions (direct):
Nb 0.000 0.000 0.000
Bi 0.500 0.500 0.500
H 0.000 0.000 0.500
H 0.000 0.500 0.000
H 0.500 0.000 0.000

DFT (PBE) results for ThHg2Br8 after structural relaxation.

Values from the calculation:
Its space group is No. 12. For the total energy, the calculation gives -2.919 eV per atom. For the density of states at the Fermi level, the calculation gives 0.0 states/eV/f.u. The calculation puts the formation energy from raw total energies at -973 meV per atom.

Unit cell a=8.477 b=8.477 c=6.872 alpha=95.39 beta=95.39 gamma=69.06
Positions (direct):
Th 0.000 0.000 0.000
Hg 0.219 0.219 0.722
Hg 0.781 0.781 0.278
Br 0.116 0.703 0.226
Br 0.168 0.168 0.266
Br 0.297 0.884 0.774
Br 0.396 0.396 0.725
Br 0.604 0.604 0.275
Br 0.703 0.116 0.226
Br 0.832 0.832 0.734
Br 0.884 0.297 0.774

DFT (PBE) results for HoAl2Zn9 after structural relaxation.

Values from the calculation:
Its space group is No. 141. For the total energy, the calculation gives -2.087 eV per atom. The calculation puts the formation energy from the elements at -1.51 eV/f.u. For the density of states at the Fermi level, the calculation gives 3.2 states/eV/f.u.

Unit cell a=8.245 b=8.245 c=8.245 alpha=100.45 beta=100.45 gamma=129.58
Positions (direct):
Ho 0.375 0.625 0.750
Ho 0.625 0.375 0.250
Al 0.000 0.000 0.000
Al 0.000 0.000 0.500
Al 0.000 0.500 0.000
Al 0.500 0.000 0.500
Zn 0.125 0.875 0.250
Zn 0.127 0.552 0.335
Zn 0.127 0.792 0.576
Zn 0.208 0.283 0.335
Zn 0.208 0.873 0.924
Zn 0.283 0.208 0.835
Zn 0.283 0.448 0.076
Zn 0.448 0.283 0.576
Zn 0.448 0.873 0.165
Zn 0.552 0.127 0.835
Zn 0.552 0.717 0.424
Zn 0.717 0.552 0.924
Zn 0.717 0.792 0.165
Zn 0.792 0.127 0.076
Zn 0.792 0.717 0.665
Zn 0.873 0.208 0.424
Zn 0.873 0.448 0.665
Zn 0.875 0.125 0.750